CdRe2Hg: single point on PBEsol structure, meta-GGA SCAN.

Geometry as POSCAR:
```
CdRe2Hg
1.0
-1.200 -2.501 1.256
2.230 1.014 4.151
-4.308 3.277 -1.285
Cd Hg Re
1 1 2
direct
0.489 0.489 0.977
0.263 0.763 0.526
0.025 0.025 0.050
0.724 0.224 0.448
```

Mass density: 16.234 g/cm³
Calculated total energy: -59.39 eV/atom
Calculated volume: 17.527 Å³/atom
Polymorph energy (0 for the lowest one): 77 meV/atom
Size of the total moment: 0.00 μB/f.u.
DFT formation energy: 0.81 eV per atom
DOS at the Fermi energy: 0.67 states/eV per atom